Entry 1:
Density functional theory data (GGA-PBE) for crystalline LiPOs at its relaxed geometry.

Cell lengths 2.959, 4.696, 12.360 Å; angles 90.00, 90.00, 90.00 degrees
Space group Fmm2 (No. 42)
One atom of each set of equivalent atoms:
Li1 0.000 0.000 0.000 x4
P1 0.000 0.000 0.329 x4
Os1 0.000 0.000 0.684 x4

Summary:
Total magnetization   0.00 Bohr magnetons per cell
Total energy   -6.0403 eV/atom
Formation enthalpy at 0 K   0.144 eV/atom



Entry 2:
Density functional theory data (GGA-PBE) for crystalline LiPOs2 at its relaxed geometry.

Cell lengths 5.479, 8.019, 2.743 Å; angles 90.00, 118.67, 90.00 degrees
Space group C2/m (No. 12)
One atom of each set of equivalent atoms:
Li1 0.000 0.000 0.000 x2
P1 0.000 0.500 0.000 x2
Os1 0.250 0.250 0.500 x4

Summary:
Total magnetization   0.00 Bohr magnetons per cell
Total energy   -7.1707 eV/atom
Formation enthalpy at 0 K   0.275 eV/atom



Entry 3:
Density functional theory data (GGA-PBE) for crystalline LiPOs2 at its relaxed geometry.

Cell lengths 2.8443, 2.8443, 24.1258 Å; angles 90.00, 90.00, 120.00 degrees
Space group R-3m (No. 166, hexagonal axes)
One atom of each set of equivalent atoms:
Li1 0.0000 0.0000 0.0000 x3
P1 0.0000 0.0000 0.5000 x3
Os1 0.0000 0.0000 0.2380 x6

Summary:
Total magnetization   0.00 Bohr magnetons per cell
Total energy   -7.3108 eV/atom
Formation enthalpy at 0 K   0.135 eV/atom



Question: Number 3 is which compound?
Answer: LiPOs2